No. 1
Entry from Alexandria: Be2TlCo2 after structural relaxation (PBE).

Cell lengths 6.407, 6.407, 2.820 Å; angles 90.00, 90.00, 90.00 degrees
Space group P4/mbm (No. 127)
Symmetry-distinct sites (fractional):
Be 0.119 0.381 0.000 x4
Tl 0.000 0.000 0.000 x2
Co 0.159 0.659 0.500 x4

relative energy among the computed polymorphs = 0 meV/atom
energy relative to the elements = 0.1783 eV/atom

No. 2
Entry from Alexandria: InPb2Au after structural relaxation (PBE).

Cell lengths 6.799, 8.665, 3.605 Å; angles 90.00, 90.92, 90.00 degrees
Space group C2/m (No. 12)
Symmetry-distinct sites (fractional):
In 0.000 0.000 0.000 x2
Pb 0.250 0.250 0.500 x4
Au 0.000 0.500 0.000 x2

energy relative to the elements = 0.0417 eV/atom

No. 3
Entry from Alexandria: Ce2Er2Ge after structural relaxation (PBE).

Cell lengths 4.178, 4.178, 17.468 Å; angles 90.00, 90.00, 90.00 degrees
Space group I4/mmm (No. 139)
Symmetry-distinct sites (fractional):
Ce 0.000 0.000 0.078 x4
Er 0.000 0.500 0.250 x4
Ge 0.000 0.000 0.500 x2

energy relative to the elements = 0.2317 eV/atom

No. 4
Entry from Alexandria: Tb4Tm5Sc4 after structural relaxation (PBE).

Cell lengths 12.399, 12.399, 4.869 Å; angles 90.00, 90.00, 90.00 degrees
Space group I4/m (No. 87)
Symmetry-distinct sites (fractional):
Tb 0.079 0.381 0.000 x8
Tm 0.000 0.000 0.000 x2
Tm 0.042 0.191 0.500 x8
Sc 0.155 0.769 0.000 x8

energy relative to the elements = 0.0448 eV/atom

No. 5
Entry from Alexandria: Ce4PmGe4 after structural relaxation (PBE).

Cell lengths 8.889, 8.889, 6.135 Å; angles 90.00, 90.00, 90.00 degrees
Space group P4_2/n (No. 86, origin choice 2)
Symmetry-distinct sites (fractional):
Ce 0.053 0.639 0.093 x8
Pm 0.250 0.250 0.250 x2
Ge 0.032 0.627 0.594 x8

energy relative to the elements = -0.4739 eV/atom

No. 6
Entry from Alexandria: ReTe3 after structural relaxation (PBE).

Cell lengths 3.193, 3.193, 10.232 Å; angles 90.00, 90.00, 90.00 degrees
Space group P4/mmm (No. 123)
Symmetry-distinct sites (fractional):
Re 0.000 0.000 0.000 x1
Te 0.000 0.000 0.500 x1
Te 0.500 0.500 0.168 x2

relative energy among the computed polymorphs = 65 meV/atom
formation energy (no corrections) = 6.282 kcal/mol of atoms

No. 7
Entry from Alexandria: PmGdPtAu after structural relaxation (PBE).

Cell lengths 7.215, 7.215, 7.215 Å; angles 90.00, 90.00, 90.00 degrees
Space group F-43m (No. 216)
Symmetry-distinct sites (fractional):
Pm 0.000 0.000 0.000 x4
Gd 0.000 0.000 0.500 x4
Pt 0.250 0.250 0.250 x4
Au 0.250 0.250 0.750 x4

energy relative to the elements = -0.9618 eV/atom

No. 8
Entry from Alexandria: BaCu2Bi2 after structural relaxation (PBE).

Cell lengths 8.482, 8.482, 3.572 Å; angles 90.00, 90.00, 90.00 degrees
Space group P4/mbm (No. 127)
Symmetry-distinct sites (fractional):
Ba 0.000 0.000 0.000 x2
Cu 0.105 0.395 0.000 x4
Bi 0.169 0.669 0.500 x4

energy relative to the elements = -0.0719 eV/atom

No. 9
Entry from Alexandria: Er2S2I after structural relaxation (PBE).

Cell lengths 4.170, 5.349, 12.973 Å; angles 90.00, 90.00, 90.00 degrees
Space group Immm (No. 71)
Symmetry-distinct sites (fractional):
Er 0.000 0.000 0.192 x4
S 0.000 0.500 0.182 x4
I 0.000 0.500 0.500 x2

formation energy (no corrections) = -39.994 kcal/mol of atoms

No. 10
Entry from Alexandria: Hf2MgH after structural relaxation (PBE).

Cell lengths 6.575, 6.575, 6.575 Å; angles 90.00, 90.00, 90.00 degrees
Space group Fm-3m (No. 225)
Symmetry-distinct sites (fractional):
Hf 0.250 0.250 0.250 x8
Mg 0.000 0.000 0.000 x4
H 0.000 0.000 0.500 x4

relative energy among the computed polymorphs = 731 meV/atom

No. 11
Entry from Alexandria: Pm4AsPSe2 after structural relaxation (PBE).

Cell lengths 7.241, 4.179, 7.325 Å; angles 90.00, 109.27, 90.00 degrees
Space group P2/m (No. 10)
Symmetry-distinct sites (fractional):
Pm 0.239 0.000 0.233 x2
Pm 0.250 0.500 0.764 x2
As 0.500 0.000 0.000 x1
P 0.000 0.500 0.000 x1
Se 0.000 0.000 0.500 x1
Se 0.500 0.500 0.500 x1

formation energy (no corrections) = -40.644 kcal/mol of atoms

No. 12
Entry from Alexandria: Ni2IrOs after structural relaxation (PBE).

Cell lengths 3.660, 3.660, 7.561 Å; angles 90.00, 90.00, 90.00 degrees
Space group I-4m2 (No. 119)
Symmetry-distinct sites (fractional):
Ni 0.000 0.000 0.000 x2
Ni 0.000 0.500 0.250 x2
Ir 0.000 0.000 0.500 x2
Os 0.000 0.500 0.750 x2

relative energy among the computed polymorphs = 0 meV/atom
energy relative to the elements = 0.0181 eV/atom

No. 13
Entry from Alexandria: ReTcHg2 after structural relaxation (PBE).

Cell lengths 7.647, 7.647, 5.387 Å; angles 90.00, 90.00, 90.00 degrees
Space group I-42d (No. 122)
Symmetry-distinct sites (fractional):
Re 0.000 0.000 0.000 x4
Tc 0.000 0.000 0.500 x4
Hg 0.249 0.250 0.125 x8

relative energy among the computed polymorphs = 1082 meV/atom
energy relative to the elements = 1.3991 eV/atom

no.,calculated density (g/cm³)
1,9.76
2,11.36
3,7.49
4,7.37
5,6.82
6,9.06
7,12.28
8,8.82
9,6.03
10,8.93
11,6.70
12,16.39
13,14.45